## w
MgReCl2 (PBE-GGA, relaxed); volume = 65 Å³/cell; symmetry = Fm-3m; magnetic moment = 0.0 μB/f.u.
1.0
2.840 -1.815 3.014
-1.626 -2.196 3.602
0.422 -4.492 0.289
Cl Re Mg
2 1 1
direct
0.750 0.750 0.750
0.250 0.250 0.250
0.500 0.500 0.500
0.000 0.000 0.000

=====

## x
MgReCl2 (PBE-GGA, relaxed); volume = 80 Å³/cell; symmetry = Cmmm; magnetic moment = 0.0 μB/f.u.
1.0
-1.677 -1.220 2.393
-0.076 -1.101 -2.968
7.268 -5.996 2.038
Cl Re Mg
2 1 1
direct
0.000 0.000 0.949
0.000 0.000 0.551
0.500 0.500 0.750
0.500 0.500 0.250

=====

## y
MgReCl2 (PBE-GGA, relaxed); volume = 100 Å³/cell; symmetry = Immm; magnetic moment = 0.8 μB/f.u.
1.0
7.448 0.003 -0.009
5.303 5.229 0.009
-5.923 -3.720 2.560
Cl Re Mg
2 1 1
direct
0.612 0.612 0.000
0.888 0.888 0.000
0.750 0.250 0.500
0.250 0.750 0.500

=====

Which of them is most stable? Easy: y.

=====

## w
MgReCl2 (PBE-GGA, relaxed); volume = 78 Å³/cell; symmetry = P4mm; magnetic moment = 0.0 μB/f.u.
1.0
3.051 0.000 0.000
0.000 3.051 0.000
0.000 0.000 8.359
Cl Re Mg
2 1 1
direct
0.000 0.000 0.907
0.500 0.500 0.326
0.500 0.500 0.763
0.000 0.000 0.504

=====

## x
MgReCl2 (PBE-GGA, relaxed); volume = 98 Å³/cell; symmetry = Cm; magnetic moment = 0.0 μB/f.u.
1.0
4.975 -0.153 0.658
4.170 2.718 0.658
2.308 0.647 7.271
Mg Re Cl
1 1 2
direct
0.540 0.540 0.455
0.307 0.307 0.343
0.771 0.771 0.629
0.881 0.881 0.073

=====

## y
MgReCl2 (PBE-GGA, relaxed); volume = 97 Å³/cell; symmetry = Pm; magnetic moment = 0.0 μB/f.u.
1.0
-2.814 0.639 -0.898
-1.611 -2.438 3.316
-1.179 4.131 6.634
Re Mg Cl
1 1 2
direct
0.500 0.991 0.678
0.000 0.576 0.546
0.500 0.054 0.356
0.000 0.879 0.920

=====

## z
MgReCl2 (PBE-GGA, relaxed); volume = 65 Å³/cell; symmetry = P4/mmm; magnetic moment = 0.5 μB/f.u.
1.0
-0.831 0.082 -2.953
1.618 -4.260 -0.573
-4.114 -1.712 1.110
Cl Mg Re
2 1 1
direct
0.000 0.000 0.000
0.000 0.500 0.500
0.500 0.500 0.000
0.500 0.000 0.500

=====

Which of them is most stable? Easy: y.

=====

## w
Mg2ReCl (PBE-GGA, relaxed); volume = 70 Å³/cell; symmetry = Cmmm; magnetic moment = 0.0 μB/f.u.
1.0
-2.171 -0.838 -1.855
0.466 -2.276 1.859
-5.621 3.084 5.184
Re Mg Cl
1 2 1
direct
0.500 0.500 0.250
0.000 0.000 0.005
0.000 0.000 0.495
0.500 0.500 0.750

=====

## x
Mg2ReCl (PBE-GGA, relaxed); volume = 71 Å³/cell; symmetry = P4/mmm; magnetic moment = 0.7 μB/f.u.
1.0
2.987 0.000 0.000
0.000 2.987 0.000
0.000 0.000 7.986
Mg Cl Re
2 1 1
direct
0.000 0.000 0.489
0.000 0.000 0.011
0.500 0.500 0.750
0.500 0.500 0.250

=====

## y
Mg2ReCl (PBE-GGA, relaxed); volume = 77 Å³/cell; symmetry = I-4m2; magnetic moment = 1.8 μB/f.u.
1.0
5.916 0.042 0.000
3.407 4.837 0.000
-4.661 -2.439 2.706
Mg Cl Re
2 1 1
direct
0.000 0.000 0.000
0.250 0.750 0.500
0.750 0.250 0.500
0.500 0.500 0.000

=====

## z
Mg2ReCl (PBE-GGA, relaxed); volume = 84 Å³/cell; symmetry = Cmm2; magnetic moment = 0.0 μB/f.u.
1.0
-0.087 2.793 -0.703
-2.377 -1.224 -1.075
-5.138 2.099 8.969
Mg Cl Re
2 1 1
direct
0.500 0.500 0.239
0.000 0.000 0.986
0.500 0.500 0.834
0.000 0.000 0.441

=====

Which of them is most stable? Easy: w.

=====

## w
MgRe2Cl2 (PBE-GGA, relaxed); volume = 235 Å³/cell; symmetry = P4/mbm; magnetic moment = 0.0 μB/f.u.
1.0
-1.489 8.478 3.214
-3.063 -3.536 7.908
2.582 0.064 1.029
Re Cl Mg
4 4 2
direct
0.910 0.590 0.000
0.590 0.090 0.000
0.090 0.410 0.000
0.410 0.910 0.000
0.243 0.257 0.500
0.257 0.757 0.500
0.743 0.243 0.500
0.757 0.743 0.500
0.000 0.000 0.000
0.500 0.500 0.000

=====

## x
MgRe2Cl2 (PBE-GGA, relaxed); volume = 173 Å³/cell; symmetry = P4/mbm; magnetic moment = 0.0 μB/f.u.
1.0
-5.236 -2.079 -5.504
-1.312 -6.770 3.806
-2.027 1.218 1.468
Mg Re Cl
2 4 4
direct
0.000 0.000 0.000
0.500 0.500 0.000
0.704 0.796 0.500
0.796 0.296 0.500
0.296 0.204 0.500
0.204 0.704 0.500
0.627 0.127 0.000
0.873 0.627 0.000
0.127 0.373 0.000
0.373 0.873 0.000

=====

Which of them is most stable? Easy: w.

=====

## w
MgRe2Cl2 (PBE-GGA, relaxed); volume = 90 Å³/cell; symmetry = I4/mmm; magnetic moment = 0.0 μB/f.u.
1.0
-3.642 -0.805 -1.827
1.992 -1.741 -3.202
-1.007 -5.892 -0.116
Re Cl Mg
2 2 1
direct
0.250 0.750 0.500
0.750 0.250 0.500
0.365 0.365 0.271
0.635 0.635 0.729
0.000 0.000 0.000

=====

## x
MgRe2Cl2 (PBE-GGA, relaxed); volume = 99 Å³/cell; symmetry = I4/mmm; magnetic moment = 0.3 μB/f.u.
1.0
4.189 0.000 0.000
0.000 4.189 0.000
2.095 2.095 5.635
Re Mg Cl
2 1 2
direct
0.598 0.598 0.804
0.402 0.402 0.196
0.000 0.000 0.000
0.750 0.250 0.500
0.250 0.750 0.500

=====

Which of them is most stable? Easy: x.

=====

## w
Mg3ReCl (PBE-GGA, relaxed); volume = 100 Å³/cell; symmetry = Pm-3m; magnetic moment = 0.0 μB/f.u.
1.0
4.645 0.000 0.000
0.000 4.645 0.000
0.000 0.000 4.645
Re Mg Cl
1 3 1
direct
0.500 0.500 0.500
0.000 0.500 0.000
0.000 0.000 0.500
0.500 0.000 0.000
0.000 0.000 0.000

=====

## x
Mg3ReCl (PBE-GGA, relaxed); volume = 149 Å³/cell; symmetry = Pm-3m; magnetic moment = 2.7 μB/f.u.
1.0
-3.937 -2.096 2.868
3.148 -0.077 4.266
-1.645 4.870 1.302
Re Cl Mg
1 1 3
direct
0.000 0.000 0.000
0.500 0.500 0.500
0.500 0.000 0.000
0.000 0.500 0.000
0.000 0.000 0.500

=====

Which of them is most stable? Easy: w.

=====

## w
MgReS2Cl (PBE-GGA, relaxed); volume = 107 Å³/cell; symmetry = P4/mmm; magnetic moment = 0.0 μB/f.u.
1.0
-2.812 3.410 -1.235
0.485 -1.195 -4.404
-3.980 -3.133 0.412
Re S Mg Cl
1 2 1 1
direct
0.000 0.000 0.000
0.000 0.500 0.000
0.500 0.000 0.000
0.500 0.500 0.500
0.000 0.000 0.500

=====

## x
MgReS2Cl (PBE-GGA, relaxed); volume = 107 Å³/cell; symmetry = P4/mmm; magnetic moment = 4.0 μB/f.u.
1.0
4.871 0.000 0.000
0.000 4.871 0.000
0.000 0.000 4.516
S Re Cl Mg
2 1 1 1
direct
0.500 0.000 0.000
0.000 0.500 0.000
0.500 0.500 0.500
0.000 0.000 0.500
0.000 0.000 0.000

=====

Which of them is most stable? Easy: w.

=====

## w
MgRh2Cl (PBE-GGA, relaxed); volume = 81 Å³/cell; symmetry = Cm; magnetic moment = 0.0 μB/f.u.
1.0
4.377 0.030 0.047
3.335 2.834 0.047
0.744 0.276 6.555
Rh Mg Cl
2 1 1
direct
0.958 0.958 0.968
0.701 0.701 0.840
0.224 0.224 0.208
0.617 0.617 0.484

=====

## x
MgRh2Cl (PBE-GGA, relaxed); volume = 70 Å³/cell; symmetry = I4/mmm; magnetic moment = 1.4 μB/f.u.
1.0
5.945 0.361 0.000
3.469 4.841 0.000
-4.707 -2.601 2.559
Rh Cl Mg
2 1 1
direct
0.500 0.500 0.000
0.000 0.000 0.000
0.250 0.750 0.500
0.750 0.250 0.500

=====

Which of them is most stable? Easy: w.

=====

## w
Mg3RhCl (PBE-GGA, relaxed); volume = 124 Å³/cell; symmetry = Pm-3m; magnetic moment = 0.0 μB/f.u.
1.0
-4.052 2.824 -0.701
-1.843 -3.420 -3.129
-2.252 -2.283 3.821
Mg Cl Rh
3 1 1
direct
0.500 0.000 0.000
0.000 0.000 0.500
0.000 0.500 0.000
0.500 0.500 0.500
0.000 0.000 0.000

=====

## x
Mg3RhCl (PBE-GGA, relaxed); volume = 103 Å³/cell; symmetry = Pm-3m; magnetic moment = 0.0 μB/f.u.
1.0
4.694 0.000 0.000
0.000 4.694 0.000
0.000 0.000 4.694
Cl Mg Rh
1 3 1
direct
0.000 0.000 0.000
0.000 0.000 0.500
0.500 0.000 0.000
0.000 0.500 0.000
0.500 0.500 0.500

=====

Which of them is most stable? Easy: w.

=====

## w
MgRuCl2 (PBE-GGA, relaxed); volume = 86 Å³/cell; symmetry = Cmm2; magnetic moment = 1.1 μB/f.u.
1.0
-0.778 2.344 2.123
-2.037 -0.547 -2.481
-4.578 -6.151 5.114
Cl Ru Mg
2 1 1
direct
0.500 0.500 0.323
0.000 0.000 0.925
0.500 0.500 0.750
0.000 0.000 0.502

=====

## x
MgRuCl2 (PBE-GGA, relaxed); volume = 87 Å³/cell; symmetry = Cm; magnetic moment = 0.0 μB/f.u.
1.0
8.268 0.053 -0.052
7.661 3.112 -0.052
0.716 0.142 3.449
Mg Cl Ru
1 2 1
direct
0.436 0.436 0.571
0.255 0.255 0.235
0.015 0.015 0.996
0.794 0.794 0.699

=====

Which of them is most stable? Easy: x.

=====

## w
MgRuCl2 (PBE-GGA, relaxed); volume = 99 Å³/cell; symmetry = P4/mmm; magnetic moment = 2.7 μB/f.u.
1.0
-1.756 -2.087 -1.344
0.221 -1.771 2.461
-8.696 4.655 4.132
Ru Cl Mg
1 2 1
direct
0.500 0.500 0.750
0.000 0.000 0.108
0.000 0.000 0.392
0.500 0.500 0.250

=====

## x
MgRuCl2 (PBE-GGA, relaxed); volume = 83 Å³/cell; symmetry = P4mm; magnetic moment = 2.0 μB/f.u.
1.0
-0.982 -0.938 2.795
2.443 -1.909 0.217
4.549 6.241 3.692
Mg Ru Cl
1 1 2
direct
0.000 0.000 0.506
0.500 0.500 0.744
0.500 0.500 0.340
0.000 0.000 0.911

=====

Which of them is most stable? Easy: x.

=====

## w
MgRu2Cl (PBE-GGA, relaxed); volume = 66 Å³/cell; symmetry = Cmmm; magnetic moment = 0.0 μB/f.u.
1.0
5.250 0.008 0.000
-2.930 4.357 0.000
0.000 0.000 2.873
Ru Cl Mg
2 1 1
direct
0.000 0.000 0.000
0.500 0.500 0.000
0.500 0.000 0.500
0.000 0.500 0.500

=====

## x
MgRu2Cl (PBE-GGA, relaxed); volume = 61 Å³/cell; symmetry = R-3m; magnetic moment = 0.0 μB/f.u.
1.0
8.613 0.009 0.005
8.125 2.858 0.005
8.125 1.392 2.496
Ru Mg Cl
2 1 1
direct
0.995 0.995 0.995
0.505 0.505 0.505
0.750 0.750 0.750
0.250 0.250 0.250

=====

## y
MgRu2Cl (PBE-GGA, relaxed); volume = 63 Å³/cell; symmetry = Cmmm; magnetic moment = 0.0 μB/f.u.
1.0
-1.923 -2.173 0.040
2.569 -0.292 1.319
-3.389 3.132 7.296
Cl Ru Mg
1 2 1
direct
0.500 0.500 0.250
0.000 0.000 0.487
0.000 0.000 0.013
0.500 0.500 0.750

=====

Which of them is most stable? Easy: x.